Record 1
Material: La3Tl2Cd4
Method: DFT, PBE
State: optimized geometry

Unit cell a=11.539 b=5.104 c=9.659 alpha=90.00 beta=117.25 gamma=90.00
Space group C2/m (No. 12)
Inequivalent atoms, fractional coordinates:
La1 0.000 0.000 0.000
La2 0.167 0.500 0.670
Tl1 0.109 0.500 0.274
Cd1 0.073 0.000 0.410
Cd2 0.209 0.500 0.036

Record 2
Material: LaTlCd10
Method: DFT, PBE
State: optimized geometry

Unit cell a=4.886 b=6.060 c=10.282 alpha=90.00 beta=90.00 gamma=90.00
Space group Pmmm (No. 47)
Inequivalent atoms, fractional coordinates:
La1 0.000 0.000 0.000
Tl1 0.000 0.500 0.500
Cd1 0.000 0.000 0.342
Cd2 0.000 0.500 0.182
Cd3 0.500 0.000 0.500
Cd4 0.500 0.236 0.233
Cd5 0.500 0.500 0.000

Record 3
Material: LaTl3Cd
Method: DFT, PBE
State: optimized geometry

Properties
Relative energy among the computed polymorphs in kJ/mol of atoms: 0.00

Unit cell a=5.530 b=5.530 c=5.530 alpha=90.00 beta=90.00 gamma=90.00
Space group Pm-3m (No. 221)
Inequivalent atoms, fractional coordinates:
La1 0.000 0.000 0.000
Tl1 0.000 0.500 0.500
Cd1 0.500 0.500 0.500

no.,total DFT energy (no corrections) (eV per atom),calculated formation energy (meV per atom),N(E_F) (states/eV/f.u.)
1,-2.95,-380,5.305
2,-1.46,-88,5.459
3,-2.39,199,4.384